1.
Computed, not measured: a PBEsol-optimized structure of KBeTl at the SCAN level of DFT.

Lattice parameters (Å, degrees): 4.2802 4.2802 5.4308 90.00 90.00 120.00
Space group P-6m2 (No. 187)
Asymmetric unit:
K1 0.0000 0.0000 0.0000 x1
Be1 0.3333 0.6667 0.5000 x1
Tl1 0.6667 0.3333 0.5000 x1

- offset from the most stable computed form (meV per atom) = 0
- energy of formation (eV/atom) = 0.302
- total energy (eV per cell) = -84.1

***

2.
Computed, not measured: a PBEsol-optimized structure of KBeTl3 at the SCAN level of DFT.

Lattice parameters (Å, degrees): 5.9576 5.9576 5.9576 90.00 90.00 90.00
Space group Pm-3m (No. 221)
Asymmetric unit:
K1 0.0000 0.0000 0.0000 x1
Be1 0.5000 0.5000 0.5000 x1
Tl1 0.0000 0.0000 0.5000 x3

- energy of formation (eV/atom) = 1.272
- total energy (eV per cell) = -223.4